VASP calculation (GGA-PBE) on crystalline AcLuAsO at its relaxed geometry.

a b c (Å): 4.4941 4.4941 9.3706
angles (deg): 90.00 90.00 90.00
Fractional coordinates of all 8 atoms:
Ac 0.2500 0.2500 0.1212
Ac 0.7500 0.7500 0.8788
Lu 0.2500 0.7500 0.5000
Lu 0.7500 0.2500 0.5000
As 0.2500 0.2500 0.6788
As 0.7500 0.7500 0.3212
O 0.2500 0.7500 0.0000
O 0.7500 0.2500 0.0000

Summary:
E above lowest polymorph: 0.05 eV per formula unit
Total magnetic moment: 0.03 μB per atom
Symmetry: P4/nmm

***

VASP calculation (GGA-PBE) on crystalline AcLuAsO at its relaxed geometry.

a b c (Å): 4.5267 4.5267 8.9551
angles (deg): 90.00 90.00 90.00
Fractional coordinates of all 8 atoms:
Ac 0.2500 0.7500 0.0000
Ac 0.7500 0.2500 0.0000
Lu 0.2500 0.2500 0.4362
Lu 0.7500 0.7500 0.5638
As 0.2500 0.2500 0.7665
As 0.7500 0.7500 0.2335
O 0.2500 0.7500 0.5000
O 0.7500 0.2500 0.5000

Summary:
E above lowest polymorph: 1.94 eV per formula unit
Total magnetic moment: 0.01 μB per atom
Symmetry: P4/nmm

***

What is the total magnetic moment in the first record?
0.03 μB per atom

***

Among the records above, which one has the highest total magnetic moment?
number 1